The following is a PBE-GGA calculation of crystalline AlB4 at its relaxed geometry, from Alexandria via LeMat-Bulk.

## Properties
**ΔE to the lowest computed polymorph**: 2444 meV/atom
**V**: 14.15 Å³ per atom
**DFT total energy**: -3.469 eV/atom
**Space group**: Pm-3m
**DFT formation energy**: 2622 meV/atom

Cell: 4.136 4.136 4.136 Å, 90.00 90.00 90.00°
Sites, in units of the cell vectors:
1 B 0.000 0.500 0.500
2 B 0.500 0.000 0.500
3 Al 0.500 0.500 0.500
4 B 0.000 0.000 0.000
5 B 0.500 0.500 0.000

The following is a PBE-GGA calculation of crystalline AlB at its relaxed geometry, from Alexandria via LeMat-Bulk.

## Properties
**V**: 14.09 Å³ per atom
**DFT total energy**: -4.975 eV/atom
**Space group**: Imm2
**DFT formation energy**: 235 meV/atom

Cell: 7.089 3.673 6.492 Å, 90.00 90.00 90.00°
Sites, in units of the cell vectors:
1 Al 0.294 0.500 0.352
2 B 0.000 0.500 0.714
3 Al 0.500 0.500 0.729
4 B 0.223 0.500 0.677
5 Al 0.000 0.000 0.229
6 B 0.277 0.000 0.177
7 B 0.723 0.000 0.177
8 Al 0.706 0.500 0.352
9 B 0.500 0.000 0.214
10 Al 0.794 0.000 0.852
11 B 0.777 0.500 0.677
12 Al 0.206 0.000 0.852

> The lowest DFT total energy belongs to which entry?

AlB